# 1
## Pm3PaS6 (PBE-GGA)

Data for a relaxed Pm3PaS6 crystal.

a b c (Å): 7.2965 7.2965 6.9298
angles (deg): 118.35 118.35 62.15
Last column: nearest neighbours and their distance in Å.
Atoms (fractional coordinates):
1 Pm 0.0000 0.0000 0.0000  6 S 2.75-2.90
2 Pm 0.2484 0.2484 0.6868  5 S 2.78-2.84
3 Pm 0.7516 0.7516 0.3132  5 S 2.78-2.84
4 Pa 0.5000 0.5000 0.5000  6 S 2.69-2.76
5 S 0.1651 0.6580 0.6591  1 Pa 2.69, 3 Pm 2.75-2.84
6 S 0.2573 0.2573 0.0972  1 Pa 2.76, 2 Pm 2.78-2.90
7 S 0.3420 0.8349 0.3409  1 Pa 2.69, 3 Pm 2.75-2.84
8 S 0.6580 0.1651 0.6591  1 Pa 2.69, 3 Pm 2.75-2.84
9 S 0.7427 0.7427 0.9028  1 Pa 2.76, 2 Pm 2.78-2.90
10 S 0.8349 0.3420 0.3409  1 Pa 2.69, 3 Pm 2.75-2.84

The crystal system is monoclinic. The polymorph energy (0 for the lowest one) is 1.64 eV/f.u. As for the space group: C2/m. The calculation puts the density of states at the Fermi level at 7.2 states/eV per cell.

=====

# 2
## PmPaS2 (PBE-GGA)

Data for a relaxed PmPaS2 crystal.

a b c (Å): 6.9405 6.9405 6.9405
angles (deg): 32.91 32.91 32.91
Last column: nearest neighbours and their distance in Å.
Atoms (fractional coordinates):
1 Pm 0.0000 0.0000 0.0000  6 S 2.83
2 Pa 0.5000 0.5000 0.5000  6 S 2.77
3 S 0.2475 0.2475 0.2475  3 Pa 2.77, 3 Pm 2.83
4 S 0.7525 0.7525 0.7525  3 Pa 2.77, 3 Pm 2.83

The crystal system is trigonal. The polymorph energy (0 for the lowest one) is 0.00 eV/f.u. As for the space group: R-3m. The calculation puts the density of states at the Fermi level at 4.7 states/eV per cell.

=====

| no. | ρ (g/cm3) | formation energy without anion corrections (eV/atom) |
| --- | --- | --- |
| 1 | 5.3 | -1.75 |
| 2 | 8.3 | -1.78 |